# Ta2TeH, optimized geometry, DFT PBE
data_Ta2TeH
_cell_length_a 5.1383
_cell_length_b 5.1383
_cell_length_c 10.6891
_cell_angle_alpha 90.00
_cell_angle_beta 90.00
_cell_angle_gamma 90.00
_space_group_name_H-M_alt 'I -4 2 d'
_space_group_IT_number 122
_space_group_name_Hall 'I -4 2bw'
loop_
_atom_site_label
_atom_site_type_symbol
_atom_site_fract_x
_atom_site_fract_y
_atom_site_fract_z
Ta1 Ta 0.0723 0.2500 0.1250
Te1 Te 0.0000 0.0000 0.5000
H1 H 0.0000 0.0000 0.0000
# DOS at the Fermi energy = 3.0 states/eV/cell
# M_tot = 0.00 μB per formula unit
# Crystal system = tetragonal
# Uncorrected energy = -7.17 eV per atom